The following is a PBE calculation of a relaxed PrSiHIr crystal, from Alexandria via LeMat-Bulk.

a b c (Å): 4.096 4.096 7.773
angles (deg): 90.00 90.00 90.00
Atoms (fractional coordinates):
Pr 0.250 0.250 0.163
Pr 0.750 0.750 0.837
Si 0.250 0.250 0.665
Si 0.750 0.750 0.335
H 0.250 0.750 0.000
H 0.750 0.250 0.000
Ir 0.250 0.750 0.500
Ir 0.750 0.250 0.500

Energy, eV/cell: -51.87
Total moment, μB/f.u.: 0.0
Calculated volume, Å³/atom: 16.3

---

The following is a PBE calculation of a relaxed PrSmH8Ir2 crystal, from Alexandria via LeMat-Bulk.

a b c (Å): 6.864 6.864 6.864
angles (deg): 41.56 41.56 41.56
Atoms (fractional coordinates):
Pr 0.000 0.000 0.000
Sm 0.500 0.500 0.500
H 0.028 0.028 0.610
H 0.028 0.610 0.028
H 0.327 0.327 0.327
H 0.390 0.972 0.972
H 0.610 0.028 0.028
H 0.673 0.673 0.673
H 0.972 0.390 0.972
H 0.972 0.972 0.390
Ir 0.241 0.241 0.241
Ir 0.759 0.759 0.759

Energy, eV/cell: -57.28
Total moment, μB/f.u.: 0.0
Calculated volume, Å³/atom: 10.7

---

The following is a PBE calculation of a relaxed PrSnH8Ir2 crystal, from Alexandria via LeMat-Bulk.

a b c (Å): 6.659 6.659 6.659
angles (deg): 43.25 43.25 43.25
Atoms (fractional coordinates):
Pr 0.000 0.000 0.000
Sn 0.500 0.500 0.500
H 0.029 0.029 0.610
H 0.029 0.610 0.029
H 0.319 0.319 0.319
H 0.390 0.971 0.971
H 0.610 0.029 0.029
H 0.681 0.681 0.681
H 0.971 0.390 0.971
H 0.971 0.971 0.390
Ir 0.230 0.230 0.230
Ir 0.770 0.770 0.770

Energy, eV/cell: -53.60
Total moment, μB/f.u.: 0.0
Calculated volume, Å³/atom: 10.5

---

The following is a PBE calculation of a relaxed PrTlH8Ir2 crystal, from Alexandria via LeMat-Bulk.

a b c (Å): 5.218 5.218 5.893
angles (deg): 107.86 107.86 55.80
Atoms (fractional coordinates):
Pr 0.000 0.000 0.000
Tl 0.500 0.500 0.500
H 0.019 0.575 0.181
H 0.083 0.083 0.449
H 0.420 0.420 0.897
H 0.425 0.981 0.819
H 0.575 0.019 0.181
H 0.580 0.580 0.103
H 0.917 0.917 0.551
H 0.981 0.425 0.819
Ir 0.258 0.258 0.657
Ir 0.742 0.742 0.343

Energy, eV/cell: -53.28
Total moment, μB/f.u.: 0.0
Calculated volume, Å³/atom: 10.4

---

The following is a PBE calculation of a relaxed PrZnH8Ir2 crystal, from Alexandria via LeMat-Bulk.

a b c (Å): 6.118 6.118 6.118
angles (deg): 45.23 45.23 45.23
Atoms (fractional coordinates):
Pr 0.000 0.000 0.000
Zn 0.500 0.500 0.500
H 0.117 0.558 0.558
H 0.317 0.317 0.317
H 0.442 0.442 0.883
H 0.442 0.883 0.442
H 0.558 0.117 0.558
H 0.558 0.558 0.117
H 0.683 0.683 0.683
H 0.883 0.442 0.442
Ir 0.217 0.217 0.217
Ir 0.783 0.783 0.783

Energy, eV/cell: -52.32
Total moment, μB/f.u.: 0.0
Calculated volume, Å³/atom: 8.8

---

The following is a PBE calculation of a relaxed HIr2Pt crystal, from Alexandria via LeMat-Bulk.

a b c (Å): 5.064 5.064 5.064
angles (deg): 105.76 105.76 117.19
Atoms (fractional coordinates):
H 0.000 0.000 0.000
H 0.750 0.250 0.500
Ir 0.028 0.625 0.903
Ir 0.375 0.278 0.403
Ir 0.722 0.125 0.097
Ir 0.875 0.972 0.597
Pt 0.250 0.750 0.500
Pt 0.500 0.500 0.000

Energy, eV/cell: -51.57
Total moment, μB/f.u.: 0.0
Calculated volume, Å³/atom: 12.3

---

The following is a PBE calculation of a relaxed H3IrPt crystal, from Alexandria via LeMat-Bulk.

a b c (Å): 3.488 3.488 3.488
angles (deg): 90.00 90.00 90.00
Atoms (fractional coordinates):
H 0.000 0.000 0.500
H 0.000 0.500 0.000
H 0.500 0.000 0.000
Ir 0.500 0.500 0.500
Pt 0.000 0.000 0.000

Energy, eV/cell: -22.04
Total moment, μB/f.u.: 0.0
Calculated volume, Å³/atom: 8.5

---

The following is a PBE calculation of a relaxed HIr3Pt crystal, from Alexandria via LeMat-Bulk.

a b c (Å): 4.840 4.840 4.840
angles (deg): 90.00 90.00 90.00
Atoms (fractional coordinates):
H 0.000 0.000 0.000
Ir 0.000 0.500 0.500
Ir 0.500 0.000 0.500
Ir 0.500 0.500 0.000
Pt 0.500 0.500 0.500

Energy, eV/cell: -22.96
Total moment, μB/f.u.: 4.1
Calculated volume, Å³/atom: 22.7

---

The following is a PBE calculation of a relaxed HIr3Pt crystal, from Alexandria via LeMat-Bulk.

a b c (Å): 3.956 3.956 3.956
angles (deg): 90.00 90.00 90.00
Atoms (fractional coordinates):
H 0.000 0.000 0.000
Ir 0.000 0.000 0.500
Ir 0.000 0.500 0.000
Ir 0.500 0.000 0.000
Pt 0.500 0.500 0.500

Energy, eV/cell: -34.84
Total moment, μB/f.u.: 0.0
Calculated volume, Å³/atom: 12.4

---

The following is a PBE calculation of a relaxed H2IrPt crystal, from Alexandria via LeMat-Bulk.

a b c (Å): 3.777 3.777 3.777
angles (deg): 60.00 60.00 60.00
Atoms (fractional coordinates):
H 0.250 0.250 0.250
H 0.750 0.750 0.750
Ir 0.000 0.000 0.000
Pt 0.500 0.500 0.500

Energy, eV/cell: -18.69
Total moment, μB/f.u.: 0.0
Calculated volume, Å³/atom: 9.5

---

The following is a PBE calculation of a relaxed H2IrPt crystal, from Alexandria via LeMat-Bulk.

a b c (Å): 4.865 4.865 4.865
angles (deg): 124.11 124.11 83.02
Atoms (fractional coordinates):
H 0.108 0.625 0.983
H 0.375 0.358 0.483
H 0.642 0.125 0.017
H 0.875 0.892 0.517
Ir 0.000 0.000 0.000
Ir 0.750 0.250 0.500
Pt 0.250 0.750 0.500
Pt 0.500 0.500 0.000

Energy, eV/cell: -40.82
Total moment, μB/f.u.: 0.0
Calculated volume, Å³/atom: 9.5

---

The following is a PBE calculation of a relaxed H3IrPt crystal, from Alexandria via LeMat-Bulk.

a b c (Å): 3.475 3.475 3.475
angles (deg): 90.00 90.00 90.00
Atoms (fractional coordinates):
H 0.000 0.000 0.500
H 0.000 0.500 0.000
H 0.500 0.000 0.000
Ir 0.000 0.000 0.000
Pt 0.500 0.500 0.500

Energy, eV/cell: -22.98
Total moment, μB/f.u.: 0.0
Calculated volume, Å³/atom: 8.4

---

The following is a PBE calculation of a relaxed HIr2Pt crystal, from Alexandria via LeMat-Bulk.

a b c (Å): 4.221 4.221 4.221
angles (deg): 60.00 60.00 60.00
Atoms (fractional coordinates):
H 0.000 0.000 0.000
Ir 0.250 0.250 0.250
Ir 0.750 0.750 0.750
Pt 0.500 0.500 0.500

Energy, eV/cell: -24.05
Total moment, μB/f.u.: 0.0
Calculated volume, Å³/atom: 13.3

---

The following is a PBE calculation of a relaxed H2IrPt crystal, from Alexandria via LeMat-Bulk.

a b c (Å): 6.083 6.083 6.083
angles (deg): 26.32 26.32 26.32
Atoms (fractional coordinates):
H 0.102 0.102 0.102
H 0.898 0.898 0.898
Ir 0.000 0.000 0.000
Pt 0.500 0.500 0.500

Energy, eV/cell: -20.15
Total moment, μB/f.u.: 0.0
Calculated volume, Å³/atom: 9.7

---

The following is a PBE calculation of a relaxed HIrPtRh2 crystal, from Alexandria via LeMat-Bulk.

a b c (Å): 3.925 3.925 3.973
angles (deg): 90.00 90.00 90.00
Atoms (fractional coordinates):
H 0.000 0.000 0.000
Ir 0.500 0.500 0.500
Pt 0.000 0.000 0.500
Rh 0.000 0.500 0.000
Rh 0.500 0.000 0.000

Energy, eV/cell: -32.37
Total moment, μB/f.u.: 0.0
Calculated volume, Å³/atom: 12.2

---

The following is a PBE calculation of a relaxed HIrPtRh2 crystal, from Alexandria via LeMat-Bulk.

a b c (Å): 3.938 3.938 3.936
angles (deg): 90.00 90.00 90.00
Atoms (fractional coordinates):
H 0.000 0.000 0.000
Ir 0.000 0.000 0.500
Pt 0.500 0.500 0.500
Rh 0.000 0.500 0.000
Rh 0.500 0.000 0.000

Energy, eV/cell: -32.59
Total moment, μB/f.u.: 0.0
Calculated volume, Å³/atom: 12.2

---

The following is a PBE calculation of a relaxed HIr2RuPt crystal, from Alexandria via LeMat-Bulk.

a b c (Å): 3.940 3.940 3.931
angles (deg): 90.00 90.00 90.00
Atoms (fractional coordinates):
H 0.000 0.000 0.000
Ir 0.000 0.500 0.000
Ir 0.500 0.000 0.000
Ru 0.000 0.000 0.500
Pt 0.500 0.500 0.500

Energy, eV/cell: -35.58
Total moment, μB/f.u.: 0.0
Calculated volume, Å³/atom: 12.2

---

The following is a PBE calculation of a relaxed HIrRu2Pt crystal, from Alexandria via LeMat-Bulk.

a b c (Å): 3.910 3.910 3.931
angles (deg): 90.00 90.00 90.00
Atoms (fractional coordinates):
H 0.000 0.000 0.000
Ir 0.000 0.000 0.500
Ru 0.000 0.500 0.000
Ru 0.500 0.000 0.000
Pt 0.500 0.500 0.500

Energy, eV/cell: -36.25
Total moment, μB/f.u.: 0.0
Calculated volume, Å³/atom: 12.0

---

The following is a PBE calculation of a relaxed HIrRu2Pt crystal, from Alexandria via LeMat-Bulk.

a b c (Å): 3.907 3.907 3.946
angles (deg): 90.00 90.00 90.00
Atoms (fractional coordinates):
H 0.000 0.000 0.000
Ir 0.500 0.500 0.500
Ru 0.000 0.500 0.000
Ru 0.500 0.000 0.000
Pt 0.000 0.000 0.500

Energy, eV/cell: -36.04
Total moment, μB/f.u.: 0.0
Calculated volume, Å³/atom: 12.0

---

The following is a PBE calculation of a relaxed ScHIr2Pt crystal, from Alexandria via LeMat-Bulk.

a b c (Å): 3.959 3.959 4.095
angles (deg): 90.00 90.00 90.00
Atoms (fractional coordinates):
Sc 0.000 0.000 0.000
H 0.000 0.000 0.500
Ir 0.000 0.500 0.500
Ir 0.500 0.000 0.500
Pt 0.500 0.500 0.000

Energy, eV/cell: -36.37
Total moment, μB/f.u.: 0.0
Calculated volume, Å³/atom: 12.8

---

The following is a PBE calculation of a relaxed ScHIr2Pt crystal, from Alexandria via LeMat-Bulk.

a b c (Å): 4.025 4.025 3.995
angles (deg): 90.00 90.00 90.00
Atoms (fractional coordinates):
Sc 0.000 0.000 0.000
H 0.500 0.500 0.500
Ir 0.000 0.500 0.500
Ir 0.500 0.000 0.500
Pt 0.500 0.500 0.000

Energy, eV/cell: -36.17
Total moment, μB/f.u.: 0.0
Calculated volume, Å³/atom: 12.9

---

The following is a PBE calculation of a relaxed Sc2HIrPt crystal, from Alexandria via LeMat-Bulk.

a b c (Å): 4.426 4.426 3.681
angles (deg): 90.00 90.00 90.00
Atoms (fractional coordinates):
Sc 0.000 0.500 0.000
Sc 0.500 0.000 0.000
H 0.000 0.000 0.000
Ir 0.000 0.000 0.500
Pt 0.500 0.500 0.500

Energy, eV/cell: -35.35
Total moment, μB/f.u.: 0.0
Calculated volume, Å³/atom: 14.4

---

The following is a PBE calculation of a relaxed ScHIrPt2 crystal, from Alexandria via LeMat-Bulk.

a b c (Å): 4.058 4.058 4.018
angles (deg): 90.00 90.00 90.00
Atoms (fractional coordinates):
Sc 0.000 0.000 0.000
H 0.500 0.500 0.500
Ir 0.500 0.500 0.000
Pt 0.000 0.500 0.500
Pt 0.500 0.000 0.500

Energy, eV/cell: -33.79
Total moment, μB/f.u.: 0.0
Calculated volume, Å³/atom: 13.2

---

The following is a PBE calculation of a relaxed ScH4IrPt2 crystal, from Alexandria via LeMat-Bulk.

a b c (Å): 5.096 5.096 4.382
angles (deg): 111.76 111.76 110.83
Atoms (fractional coordinates):
Sc 0.000 0.000 0.000
H 0.158 0.413 0.566
H 0.439 0.096 0.982
H 0.587 0.842 0.434
H 0.904 0.561 0.018
Ir 0.248 0.752 0.500
Pt 0.502 0.498 0.000
Pt 0.738 0.262 0.500

Energy, eV/cell: -42.88
Total moment, μB/f.u.: 0.0
Calculated volume, Å³/atom: 10.1

---

The following is a PBE calculation of a relaxed Sc2HIrPt crystal, from Alexandria via LeMat-Bulk.

a b c (Å): 4.458 4.458 3.638
angles (deg): 90.00 90.00 90.00
Atoms (fractional coordinates):
Sc 0.000 0.500 0.000
Sc 0.500 0.000 0.000
H 0.000 0.000 0.000
Ir 0.500 0.500 0.500
Pt 0.000 0.000 0.500

Energy, eV/cell: -35.14
Total moment, μB/f.u.: 0.0
Calculated volume, Å³/atom: 14.5

---

The following is a PBE calculation of a relaxed ScHIrPt2 crystal, from Alexandria via LeMat-Bulk.

a b c (Å): 3.944 3.944 4.233
angles (deg): 90.00 90.00 90.00
Atoms (fractional coordinates):
Sc 0.000 0.000 0.000
H 0.000 0.000 0.500
Ir 0.500 0.500 0.000
Pt 0.000 0.500 0.500
Pt 0.500 0.000 0.500

Energy, eV/cell: -33.55
Total moment, μB/f.u.: 0.0
Calculated volume, Å³/atom: 13.2